IrAu4Se: optimized geometry, GGA-PBE.

```
IrAu4Se
1.0
0.0000 3.8561 3.8561
3.8561 0.0000 3.8561
3.8561 3.8561 0.0000
Ir Au Se
1 4 1
Cartesian
0.0000 0.0000 0.0000
2.8900 2.8900 2.8900
4.8221 4.8221 2.8900
4.8221 2.8900 4.8221
2.8900 4.8221 4.8221
5.7841 5.7841 5.7841
```

Calculated values
formation energy without anion corrections	697	meV per atom
spin magnetization	0.000	μB/f.u.